(1)
This record from Alexandria describes InCo2Te after structural relaxation. The functional is PBE. Values from VASP.

```
&SYSTEM
  ibrav = 0, nat = 4, ntyp = 3
/
ATOMIC_SPECIES
In 114.82 In.upf
Co 58.93 Co.upf
Te 127.60 Te.upf
ATOMIC_POSITIONS angstrom
In 0.0000 0.0000 0.0000
Co 1.6136 1.6136 1.6121
Co 1.6136 1.6136 4.6237
Te 0.0000 0.0000 3.1179
CELL_PARAMETERS angstrom
3.2272 0.0000 0.0000
0.0000 3.2272 0.0000
0.0000 0.0000 6.2358
```

V (Å³/atom): 16.24
Polymorph energy (0 for the lowest one) (meV/atom): 128
M_tot (μB/f.u.): 1.5

(2)
This record from Alexandria describes ZrHg4N2 after structural relaxation. The functional is PBE. Values from VASP.

```
&SYSTEM
  ibrav = 0, nat = 7, ntyp = 3
/
ATOMIC_SPECIES
Zr 91.22 Zr.upf
Hg 200.59 Hg.upf
N 14.01 N.upf
ATOMIC_POSITIONS angstrom
Zr 0.0000 0.0000 0.0000
Hg 3.0600 0.0000 0.0000
Hg 0.0000 0.0000 2.8772
Hg 0.0000 3.0600 0.0000
Hg 0.0000 0.0000 10.2025
N 0.0000 0.0000 5.9783
N 0.0000 0.0000 7.1013
CELL_PARAMETERS angstrom
-3.0600 3.0600 6.5398
3.0600 -3.0600 6.5398
3.0600 3.0600 -6.5398
```

DFT total energy (eV per atom): -3.245
V (Å³/atom): 34.99
M_tot (μB/f.u.): 2.0

(3)
This record from Alexandria describes ThIrAu after structural relaxation. The functional is PBE. Values from VASP.

```
&SYSTEM
  ibrav = 0, nat = 3, ntyp = 3
/
ATOMIC_SPECIES
Th 232.04 Th.upf
Ir 192.22 Ir.upf
Au 196.97 Au.upf
ATOMIC_POSITIONS angstrom
Th 0.0000 0.0000 0.0000
Ir 4.9941 4.9941 4.9941
Au 3.3294 3.3294 3.3294
CELL_PARAMETERS angstrom
0.0000 3.3294 3.3294
3.3294 0.0000 3.3294
3.3294 3.3294 0.0000
```

E_form (eV per atom): -0.556
V (Å³/atom): 24.60
Polymorph energy (0 for the lowest one) (meV/atom): 219
M_tot (μB/f.u.): 0.0

(4)
This record from Alexandria describes Ho3Tm4Sc2 after structural relaxation. The functional is PBE. Values from VASP.

```
&SYSTEM
  ibrav = 0, nat = 18, ntyp = 3
/
ATOMIC_SPECIES
Ho 164.93 Ho.upf
Tm 168.93 Tm.upf
Sc 44.96 Sc.upf
ATOMIC_POSITIONS angstrom
Ho 7.4900 4.0001 4.3651
Ho 4.6575 1.7239 5.3576
Ho 5.0093 -1.7239 2.4476
Ho 10.3224 1.7239 3.3725
Ho 10.6742 -1.7239 0.4625
Ho 7.8418 -4.0001 1.4550
Tm 3.2851 1.1879 2.2799
Tm 6.6643 1.2693 2.6460
Tm 2.9333 -1.1879 5.1899
Tm 9.0192 1.2693 0.2640
Tm 6.3125 -1.2693 5.5560
Tm 12.3984 1.1879 0.6301
Tm 8.6674 -1.2693 3.1741
Tm 12.0467 -1.1879 3.5402
Sc 6.2738 4.3216 1.1946
Sc 9.4097 4.3216 1.7154
Sc 5.9220 -4.3216 4.1046
Sc 9.0579 -4.3216 4.6255
CELL_PARAMETERS angstrom
8.0176 -5.6113 0.0000
8.0176 5.6113 0.0000
-0.7035 0.0000 5.8201
```

E_form (eV per atom): 0.111
V (Å³/atom): 29.09
Polymorph energy (0 for the lowest one) (meV/atom): 17
M_tot (μB/f.u.): 0.0

(5)
This record from Alexandria describes Ac5Ag2Pd12 after structural relaxation. The functional is PBE. Values from VASP.

```
&SYSTEM
  ibrav = 0, nat = 19, ntyp = 3
/
ATOMIC_SPECIES
Ac 227.00 Ac.upf
Ag 107.87 Ag.upf
Pd 106.42 Pd.upf
ATOMIC_POSITIONS angstrom
Ac 0.0000 0.0000 0.0000
Ac 3.4003 0.0000 6.4720
Ac 4.9930 0.0000 3.1501
Ac 10.7649 0.0000 3.8741
Ac 12.3577 0.0000 0.5523
Ag 7.8790 1.7125 3.5121
Ag 7.8790 -1.7125 3.5121
Pd 5.3587 2.2608 5.2521
Pd 1.7502 0.0000 4.1343
Pd 6.4426 1.4276 0.9517
Pd 10.3992 2.2608 1.7721
Pd 9.3153 1.4276 6.0725
Pd 6.8925 0.0000 5.7102
Pd 8.8655 0.0000 1.3140
Pd 6.4426 -1.4276 0.9517
Pd 5.3587 -2.2608 5.2521
Pd 9.3153 -1.4276 6.0725
Pd 14.0078 0.0000 2.8900
Pd 10.3992 -2.2608 1.7721
CELL_PARAMETERS angstrom
8.1544 -3.6416 0.0000
8.1544 3.6416 0.0000
-0.5508 0.0000 7.0243
```

E_form (eV per atom): -0.608
V (Å³/atom): 21.96
M_tot (μB/f.u.): 0.0

(6)
This record from Alexandria describes HfGaSi2 after structural relaxation. The functional is PBE. Values from VASP.

```
&SYSTEM
  ibrav = 0, nat = 8, ntyp = 3
/
ATOMIC_SPECIES
Hf 178.49 Hf.upf
Ga 69.72 Ga.upf
Si 28.09 Si.upf
ATOMIC_POSITIONS angstrom
Hf 0.0000 0.0000 0.0000
Hf 0.0000 3.5649 1.3984
Ga 3.5649 0.0000 1.3984
Ga 0.0000 0.0000 2.7967
Si 1.7825 1.9677 -0.6992
Si 5.1621 1.7825 0.6992
Si 1.7825 1.5972 2.0975
Si -1.5972 1.7825 3.4959
CELL_PARAMETERS angstrom
-3.5649 3.5649 2.7967
3.5649 -3.5649 2.7967
3.5649 3.5649 -2.7967
```

DFT total energy (eV per atom): -5.892
V (Å³/atom): 17.77
M_tot (μB/f.u.): 0.0

(7)
This record from Alexandria describes NpIBr4 after structural relaxation. The functional is PBE. Values from VASP.

```
&SYSTEM
  ibrav = 0, nat = 12, ntyp = 3
/
ATOMIC_SPECIES
Np 237.00 Np.upf
I 126.90 I.upf
Br 79.90 Br.upf
ATOMIC_POSITIONS angstrom
Np 0.6231 0.0000 1.7290
Np 14.5180 0.0000 6.0976
I 5.2054 0.0000 5.8968
I 9.9357 0.0000 1.9298
Br 6.1901 2.1570 0.6213
Br 3.1230 0.0000 2.6207
Br 7.5705 2.0532 3.9133
Br 8.9510 2.1570 7.2054
Br 6.1901 -2.1570 0.6213
Br 7.5705 -2.0532 3.9133
Br 12.0181 0.0000 5.2060
Br 8.9510 -2.1570 7.2054
CELL_PARAMETERS angstrom
7.7374 -3.7546 0.0000
7.7374 3.7546 0.0000
-0.3336 0.0000 7.8266
```

V (Å³/atom): 37.90
Polymorph energy (0 for the lowest one) (meV/atom): 165
M_tot (μB/f.u.): 1.9

(8)
This record from Alexandria describes CsLi2Bi after structural relaxation. The functional is PBE. Values from VASP.

```
&SYSTEM
  ibrav = 0, nat = 8, ntyp = 3
/
ATOMIC_SPECIES
Cs 132.91 Cs.upf
Li 6.94 Li.upf
Bi 208.98 Bi.upf
ATOMIC_POSITIONS angstrom
Cs 0.0000 0.0000 0.0000
Cs 0.0000 3.1084 4.3705
Li 1.5542 3.0986 -2.1853
Li 3.1182 1.5542 2.1853
Li 1.5542 0.0098 6.5558
Li -0.0098 1.5542 10.9264
Bi 3.1084 0.0000 4.3705
Bi 0.0000 0.0000 8.7411
CELL_PARAMETERS angstrom
-3.1084 3.1084 8.7411
3.1084 -3.1084 8.7411
3.1084 3.1084 -8.7411
```

E_form (eV per atom): -0.322
V (Å³/atom): 42.23
M_tot (μB/f.u.): 0.0

(9)
This record from Alexandria describes Ho4ThSc3 after structural relaxation. The functional is PBE. Values from VASP.

```
&SYSTEM
  ibrav = 0, nat = 16, ntyp = 3
/
ATOMIC_SPECIES
Ho 164.93 Ho.upf
Th 232.04 Th.upf
Sc 44.96 Sc.upf
ATOMIC_POSITIONS angstrom
Ho 0.0000 0.0000 0.0000
Ho 0.0000 4.8392 0.0000
Ho 1.7223 2.4196 1.7348
Ho 1.7223 2.4196 5.0759
Ho 3.4447 0.0000 0.0000
Ho 3.4447 4.8392 0.0000
Ho 5.1670 7.2588 1.7575
Ho 5.1670 7.2588 5.0986
Th 1.7223 7.2588 1.7830
Th 5.1670 2.4196 5.0504
Sc 0.0000 0.0000 3.4167
Sc 0.0000 4.8392 3.4167
Sc 1.7223 7.2588 5.1159
Sc 3.4447 0.0000 3.4167
Sc 3.4447 4.8392 3.4167
Sc 5.1670 2.4196 1.7175
CELL_PARAMETERS angstrom
6.8894 0.0000 0.0000
0.0000 9.6783 0.0000
0.0000 0.0000 6.8334
```

E_form (eV per atom): 0.040
V (Å³/atom): 28.48
Polymorph energy (0 for the lowest one) (meV/atom): 0
M_tot (μB/f.u.): 0.0

(10)
This record from Alexandria describes Rb6Na5 after structural relaxation. The functional is PBE. Values from VASP.

```
&SYSTEM
  ibrav = 0, nat = 11, ntyp = 2
/
ATOMIC_SPECIES
Rb 85.47 Rb.upf
Na 22.99 Na.upf
ATOMIC_POSITIONS angstrom
Rb 6.7383 2.5514 2.2495
Rb 11.0185 2.5748 0.0000
Rb 13.1336 2.5514 4.3832
Rb 6.7383 -2.5514 2.2495
Rb 11.0185 -2.5748 0.0000
Rb 13.1336 -2.5514 4.3832
Na 3.6009 0.0000 1.2022
Na 5.5115 0.0000 5.5183
Na 9.9359 0.0000 3.3163
Na 14.3604 0.0000 1.1143
Na 16.2710 0.0000 5.4304
CELL_PARAMETERS angstrom
11.0185 -4.9618 0.0000
11.0185 4.9618 0.0000
-2.1651 0.0000 6.6326
```

E_form (eV per atom): 0.046
V (Å³/atom): 65.93
Polymorph energy (0 for the lowest one) (meV/atom): 0
M_tot (μB/f.u.): 0.0

(11)
This record from Alexandria describes Nd12Er2Tl after structural relaxation. The functional is PBE. Values from VASP.

```
&SYSTEM
  ibrav = 0, nat = 30, ntyp = 3
/
ATOMIC_SPECIES
Nd 144.24 Nd.upf
Er 167.26 Er.upf
Tl 204.38 Tl.upf
ATOMIC_POSITIONS angstrom
Nd 0.0353 3.3947 2.2298
Nd 0.0353 6.6837 21.6900
Nd 0.5604 3.9199 13.5308
Nd 0.5604 6.1585 10.3890
Nd 1.6797 1.6797 4.7964
Nd 1.6797 1.6797 7.8384
Nd 1.6797 1.6797 16.0814
Nd 1.6797 1.6797 19.1234
Nd 2.7990 3.9199 10.3890
Nd 2.7990 6.1585 13.5308
Nd 3.3242 3.3947 21.6900
Nd 3.3242 6.6837 2.2298
Nd 3.3947 0.0353 21.6900
Nd 3.3947 3.3242 2.2298
Nd 3.9199 0.5604 10.3890
Nd 3.9199 2.7990 13.5308
Nd 5.0392 5.0392 4.7964
Nd 5.0392 5.0392 7.8384
Nd 5.0392 5.0392 16.0814
Nd 5.0392 5.0392 19.1234
Nd 6.1585 0.5604 13.5308
Nd 6.1585 2.7990 10.3890
Nd 6.6837 0.0353 2.2298
Nd 6.6837 3.3242 21.6900
Er 1.6797 5.0392 6.0036
Er 1.6797 5.0392 17.9162
Er 5.0392 1.6797 6.0036
Er 5.0392 1.6797 17.9162
Tl 1.6797 5.0392 0.0000
Tl 5.0392 1.6797 0.0000
CELL_PARAMETERS angstrom
6.7189 0.0000 0.0000
0.0000 6.7189 0.0000
0.0000 0.0000 23.9198
```

E_form (eV per atom): 0.246
V (Å³/atom): 35.99
M_tot (μB/f.u.): 0.0

(12)
This record from Alexandria describes K2ZrRu4 after structural relaxation. The functional is PBE. Values from VASP.

```
&SYSTEM
  ibrav = 0, nat = 7, ntyp = 3
/
ATOMIC_SPECIES
K 39.10 K.upf
Zr 91.22 Zr.upf
Ru 101.07 Ru.upf
ATOMIC_POSITIONS angstrom
K 0.0000 0.0000 2.4985
K 0.0000 0.0000 14.1256
Zr 0.0000 0.0000 8.3121
Ru 2.4879 0.0000 0.0000
Ru 0.0000 0.0000 5.9199
Ru 0.0000 2.4879 0.0000
Ru 0.0000 0.0000 10.7043
CELL_PARAMETERS angstrom
-2.4879 2.4879 8.3121
2.4879 -2.4879 8.3121
2.4879 2.4879 -8.3121
```

E_form (eV per atom): 1.654
V (Å³/atom): 29.40
M_tot (μB/f.u.): 5.9